No. 1
Crystalline SrLaZn3 at its relaxed geometry. Source: the Alexandria database, functional PBE.

Space group   Pm-3m (221)
M_tot   0.00 μB/f.u.
Crystal system   cubic
Formation energy   539.3 meV per atom
Total energy   -7.7 eV/f.u.

a = 5.418 Å, b = 5.418 Å, c = 5.418 Å
α = 90.00°, β = 90.00°, γ = 90.00°
Sites, in units of the cell vectors:
Sr  0.000  0.000  0.000
Zn  0.000  0.500  0.000
La  0.500  0.500  0.500
Zn  0.000  0.000  0.500
Zn  0.500  0.000  0.000



No. 2
Crystalline Nd2Al3Cu at its relaxed geometry. Source: the Alexandria database, functional PBE.

Space group   Cm (8)
M_tot   0.00 μB/f.u.
Crystal system   monoclinic
Formation energy   -424.1 meV per atom
Total energy   -27.4 eV/f.u.

a = 4.585 Å, b = 5.773 Å, c = 5.877 Å
α = 80.42°, β = 67.04°, γ = 66.61°
Sites, in units of the cell vectors:
Al  0.829  0.231  0.111
Cu  0.167  0.395  0.271
Nd  0.543  0.204  0.710
Al  0.161  0.773  0.905
Al  0.849  0.601  0.702
Nd  0.451  0.796  0.302